Entry 1:
LuCdAu GGA-PBE optimized geometry; N(E_F) = 0.526 states/eV/atom; DFT formation energy = -50 kJ/mol of atoms
1.0
4.768 0.000 0.000
-2.384 4.129 0.000
0.000 0.000 3.353
Lu Cd Au
1 1 1
Direct
0.000 0.000 0.000
0.333 0.667 0.500
0.667 0.333 0.500



Entry 2:
LuMgCdAu GGA-PBE optimized geometry; N(E_F) = 0.337 states/eV/atom; DFT formation energy = -50 kJ/mol of atoms
1.0
6.957 0.000 0.000
0.000 6.957 0.000
0.000 0.000 6.957
Lu Mg Cd Au
4 4 4 4
Direct
0.000 0.000 0.000
0.000 0.500 0.500
0.500 0.000 0.500
0.500 0.500 0.000
0.000 0.000 0.500
0.000 0.500 0.000
0.500 0.000 0.000
0.500 0.500 0.500
0.250 0.250 0.250
0.250 0.750 0.750
0.750 0.250 0.750
0.750 0.750 0.250
0.250 0.250 0.750
0.250 0.750 0.250
0.750 0.250 0.250
0.750 0.750 0.750



Entry 3:
NaLuCdAu GGA-PBE optimized geometry; N(E_F) = 0.984 states/eV/atom; DFT formation energy = -30 kJ/mol of atoms
1.0
7.112 0.000 0.000
0.000 7.112 0.000
0.000 0.000 7.112
Na Lu Cd Au
4 4 4 4
Direct
0.000 0.000 0.000
0.000 0.500 0.500
0.500 0.000 0.500
0.500 0.500 0.000
0.000 0.000 0.500
0.000 0.500 0.000
0.500 0.000 0.000
0.500 0.500 0.500
0.250 0.250 0.750
0.250 0.750 0.250
0.750 0.250 0.250
0.750 0.750 0.750
0.250 0.250 0.250
0.250 0.750 0.750
0.750 0.250 0.750
0.750 0.750 0.250



Entry 4:
NdLuCdAu GGA-PBE optimized geometry; N(E_F) = 1.011 states/eV/atom; DFT formation energy = -51 kJ/mol of atoms
1.0
7.387 0.000 0.000
0.000 7.387 0.000
0.000 0.000 7.387
Nd Lu Cd Au
4 4 4 4
Direct
0.000 0.000 0.000
0.000 0.500 0.500
0.500 0.000 0.500
0.500 0.500 0.000
0.000 0.000 0.500
0.000 0.500 0.000
0.500 0.000 0.000
0.500 0.500 0.500
0.250 0.250 0.750
0.250 0.750 0.250
0.750 0.250 0.250
0.750 0.750 0.750
0.250 0.250 0.250
0.250 0.750 0.750
0.750 0.250 0.750
0.750 0.750 0.250



Entry 5:
LuCdNiAu GGA-PBE optimized geometry; N(E_F) = 0.561 states/eV/atom; DFT formation energy = -41 kJ/mol of atoms
1.0
6.685 0.000 0.000
0.000 6.685 0.000
0.000 0.000 6.685
Lu Cd Ni Au
4 4 4 4
Direct
0.000 0.000 0.000
0.000 0.500 0.500
0.500 0.000 0.500
0.500 0.500 0.000
0.000 0.000 0.500
0.000 0.500 0.000
0.500 0.000 0.000
0.500 0.500 0.500
0.250 0.250 0.250
0.250 0.750 0.750
0.750 0.250 0.750
0.750 0.750 0.250
0.250 0.250 0.750
0.250 0.750 0.250
0.750 0.250 0.250
0.750 0.750 0.750



Entry 6:
LuCdPdAu GGA-PBE optimized geometry; N(E_F) = 0.539 states/eV/atom; DFT formation energy = -67 kJ/mol of atoms
1.0
6.797 0.000 0.000
0.000 6.797 0.000
0.000 0.000 6.797
Lu Cd Pd Au
4 4 4 4
Direct
0.000 0.000 0.000
0.000 0.500 0.500
0.500 0.000 0.500
0.500 0.500 0.000
0.000 0.000 0.500
0.000 0.500 0.000
0.500 0.000 0.000
0.500 0.500 0.500
0.250 0.250 0.750
0.250 0.750 0.250
0.750 0.250 0.250
0.750 0.750 0.750
0.250 0.250 0.250
0.250 0.750 0.750
0.750 0.250 0.750
0.750 0.750 0.250



Entry 7:
LuCdPtAu GGA-PBE optimized geometry; N(E_F) = 0.423 states/eV/atom; DFT formation energy = -74 kJ/mol of atoms
1.0
6.801 0.000 0.000
0.000 6.801 0.000
0.000 0.000 6.801
Lu Cd Pt Au
4 4 4 4
Direct
0.000 0.000 0.000
0.000 0.500 0.500
0.500 0.000 0.500
0.500 0.500 0.000
0.000 0.000 0.500
0.000 0.500 0.000
0.500 0.000 0.000
0.500 0.500 0.500
0.250 0.250 0.250
0.250 0.750 0.750
0.750 0.250 0.750
0.750 0.750 0.250
0.250 0.250 0.750
0.250 0.750 0.250
0.750 0.250 0.250
0.750 0.750 0.750



Entry 8:
LuPuCdAu GGA-PBE optimized geometry; N(E_F) = 2.550 states/eV/atom; DFT formation energy = -31 kJ/mol of atoms
1.0
7.323 0.000 0.000
0.000 7.323 0.000
0.000 0.000 7.323
Lu Pu Cd Au
4 4 4 4
Direct
0.000 0.000 0.000
0.000 0.500 0.500
0.500 0.000 0.500
0.500 0.500 0.000
0.000 0.000 0.500
0.000 0.500 0.000
0.500 0.000 0.000
0.500 0.500 0.500
0.250 0.250 0.250
0.250 0.750 0.750
0.750 0.250 0.750
0.750 0.750 0.250
0.250 0.250 0.750
0.250 0.750 0.250
0.750 0.250 0.250
0.750 0.750 0.750



Entry 9:
LuCdSbAu GGA-PBE optimized geometry; N(E_F) = 0.897 states/eV/atom; energy relative to the elements, uncorrected = -0.375 eV per atom
1.0
7.197 0.000 0.000
0.000 7.197 0.000
0.000 0.000 7.197
Lu Cd Sb Au
4 4 4 4
Direct
0.000 0.000 0.000
0.000 0.500 0.500
0.500 0.000 0.500
0.500 0.500 0.000
0.000 0.000 0.500
0.000 0.500 0.000
0.500 0.000 0.000
0.500 0.500 0.500
0.250 0.250 0.750
0.250 0.750 0.250
0.750 0.250 0.250
0.750 0.750 0.750
0.250 0.250 0.250
0.250 0.750 0.750
0.750 0.250 0.750
0.750 0.750 0.250



Entry 10:
LuScCdAu GGA-PBE optimized geometry; N(E_F) = 0.943 states/eV/atom; DFT formation energy = -52 kJ/mol of atoms
1.0
7.064 0.000 0.000
0.000 7.064 0.000
0.000 0.000 7.064
Lu Sc Cd Au
4 4 4 4
Direct
0.000 0.000 0.000
0.000 0.500 0.500
0.500 0.000 0.500
0.500 0.500 0.000
0.000 0.000 0.500
0.000 0.500 0.000
0.500 0.000 0.000
0.500 0.500 0.500
0.250 0.250 0.750
0.250 0.750 0.250
0.750 0.250 0.250
0.750 0.750 0.750
0.250 0.250 0.250
0.250 0.750 0.750
0.750 0.250 0.750
0.750 0.750 0.250